(1)
Compound: Ac2MnInPd6
Source: Alexandria via LeMat-Bulk
Functional: GGA-PBE
Structure: relaxed

Results
VASP energy = -5.684 eV per atom

CIF file:
```
data_Ac2MnInPd6
_cell_length_a 6.8543
_cell_length_b 6.8543
_cell_length_c 8.8553
_cell_angle_alpha 129.57
_cell_angle_beta 129.57
_cell_angle_gamma 48.44
_symmetry_space_group_name_H-M 'P 1'
_symmetry_Int_Tables_number 1
_symmetry_space_group_name_Hall 'P 1'
loop_
_atom_site_label
_atom_site_fract_x
_atom_site_fract_y
_atom_site_fract_z
Ac1 0.2442 0.2442 0.2803
Ac2 0.7558 0.7558 0.7197
Mn1 0.5000 0.5000 0.0000
In1 0.0000 0.0000 0.5000
Pd1 0.2484 0.7438 0.7529
Pd2 0.2526 0.2526 0.9139
Pd3 0.2562 0.7516 0.2471
Pd4 0.7438 0.2484 0.7529
Pd5 0.7474 0.7474 0.0861
Pd6 0.7516 0.2562 0.2471
```

(2)
Compound: Ac2MnInPt6
Source: Alexandria via LeMat-Bulk
Functional: GGA-PBE
Structure: relaxed

Results
VASP energy = -6.288 eV per atom

CIF file:
```
data_Ac2MnInPt6
_cell_length_a 8.9636
_cell_length_b 8.9636
_cell_length_c 8.9636
_cell_angle_alpha 37.81
_cell_angle_beta 37.81
_cell_angle_gamma 37.81
_symmetry_space_group_name_H-M 'P 1'
_symmetry_Int_Tables_number 1
_symmetry_space_group_name_Hall 'P 1'
loop_
_atom_site_label
_atom_site_fract_x
_atom_site_fract_y
_atom_site_fract_z
Ac1 0.2072 0.2072 0.2072
Ac2 0.7928 0.7928 0.7928
Mn1 0.5000 0.5000 0.5000
In1 0.0000 0.0000 0.0000
Pt1 0.2440 0.7449 0.7449
Pt2 0.2551 0.2551 0.7560
Pt3 0.2551 0.7560 0.2551
Pt4 0.7449 0.2440 0.7449
Pt5 0.7449 0.7449 0.2440
Pt6 0.7560 0.2551 0.2551
```

(3)
Compound: AcMnInPt3
Source: Alexandria via LeMat-Bulk
Functional: GGA-PBE
Structure: relaxed

Results
VASP energy = -6.131 eV per atom

CIF file:
```
data_AcMnInPt3
_cell_length_a 8.9355
_cell_length_b 8.9355
_cell_length_c 5.8598
_cell_angle_alpha 90.00
_cell_angle_beta 90.00
_cell_angle_gamma 141.10
_symmetry_space_group_name_H-M 'P 1'
_symmetry_Int_Tables_number 1
_symmetry_space_group_name_Hall 'P 1'
loop_
_atom_site_label
_atom_site_fract_x
_atom_site_fract_y
_atom_site_fract_z
Ac1 0.2188 0.7812 0.7500
Ac2 0.7812 0.2188 0.2500
Mn1 0.0933 0.9067 0.2500
Mn2 0.9067 0.0933 0.7500
In1 0.4029 0.5971 0.2500
In2 0.5971 0.4029 0.7500
Pt1 0.2368 0.2368 0.0000
Pt2 0.2368 0.2368 0.5000
Pt3 0.2445 0.7555 0.2500
Pt4 0.7555 0.2445 0.7500
Pt5 0.7632 0.7632 0.0000
Pt6 0.7632 0.7632 0.5000
```